[1]
{"formula": "Zn2Pd8Rh", "functional": "PBE", "state": "relaxed", "lattice": [[4.935, -4.404, 0.000], [4.935, 4.404, 0.000], [-1.312, 0.000, 4.390]], "species": ["Zn", "Zn", "Pd", "Pd", "Pd", "Pd", "Pd", "Pd", "Pd", "Pd", "Rh"], "fractional_positions": [[0.147, 0.147, 0.040], [0.853, 0.853, 0.960], [0.156, 0.668, 0.707], [0.271, 0.271, 0.606], [0.332, 0.844, 0.293], [0.423, 0.423, 0.200], [0.577, 0.577, 0.800], [0.668, 0.156, 0.707], [0.729, 0.729, 0.394], [0.844, 0.332, 0.293], [0.000, 0.000, 0.500]], "spacegroup": "C2/m", "ef_ev_per_fu": 1.46, "dft_energy_ev_per_atom": -4.544, "crystal_system": "monoclinic", "total_magnetization_mub_per_cell": 0.00, "relative_energy_ev_per_atom": 0.340}



[2]
{"formula": "ZnPd2Rh", "functional": "PBE", "state": "relaxed", "lattice": [[3.728, 0.000, 0.000], [0.000, 3.728, 0.000], [0.000, 0.000, 18.429]], "species": ["Zn", "Zn", "Zn", "Zn", "Pd", "Pd", "Pd", "Pd", "Pd", "Pd", "Pd", "Pd", "Rh", "Rh", "Rh", "Rh"], "fractional_positions": [[0.000, 0.000, 0.000], [0.000, 0.500, 0.250], [0.500, 0.000, 0.750], [0.500, 0.500, 0.500], [0.250, 0.250, 0.125], [0.250, 0.250, 0.625], [0.250, 0.750, 0.375], [0.250, 0.750, 0.875], [0.750, 0.250, 0.375], [0.750, 0.250, 0.875], [0.750, 0.750, 0.125], [0.750, 0.750, 0.625], [0.000, 0.000, 0.500], [0.000, 0.500, 0.750], [0.500, 0.000, 0.250], [0.500, 0.500, 0.000]], "spacegroup": "I-42d", "ef_ev_per_fu": 0.50, "dft_energy_ev_per_atom": -4.629, "crystal_system": "tetragonal", "total_magnetization_mub_per_cell": 0.00}



[3]
{"formula": "Zn4Pd3Rh", "functional": "PBE", "state": "relaxed", "lattice": [[3.146, 0.000, 0.000], [0.000, 4.255, 0.000], [0.000, 0.000, 8.497]], "species": ["Zn", "Zn", "Zn", "Zn", "Pd", "Pd", "Pd", "Rh"], "fractional_positions": [[0.000, 0.000, 0.000], [0.000, 0.000, 0.500], [0.000, 0.500, 0.246], [0.000, 0.500, 0.754], [0.500, 0.000, 0.252], [0.500, 0.000, 0.748], [0.500, 0.500, 0.500], [0.500, 0.500, 0.000]], "spacegroup": "Pmmm", "ef_ev_per_fu": -4.34, "dft_energy_ev_per_atom": -4.046, "crystal_system": "orthorhombic", "total_magnetization_mub_per_cell": 0.00}



[4]
{"formula": "Zn3PdRh2", "functional": "PBE", "state": "relaxed", "lattice": [[4.270, 0.000, 0.000], [0.000, 12.811, 0.000], [0.000, 0.000, 3.066]], "species": ["Zn", "Zn", "Zn", "Zn", "Zn", "Zn", "Pd", "Pd", "Rh", "Rh", "Rh", "Rh"], "fractional_positions": [[0.000, 0.000, 0.000], [0.000, 0.331, 0.000], [0.000, 0.669, 0.000], [0.500, 0.169, 0.000], [0.500, 0.500, 0.000], [0.500, 0.831, 0.000], [0.000, 0.500, 0.500], [0.500, 0.000, 0.500], [0.000, 0.165, 0.500], [0.000, 0.835, 0.500], [0.500, 0.335, 0.500], [0.500, 0.665, 0.500]], "spacegroup": "Cmmm", "ef_ev_per_fu": -2.81, "dft_energy_ev_per_atom": -4.422, "crystal_system": "orthorhombic", "total_magnetization_mub_per_cell": 0.00}



[5]
{"formula": "Zn3PdRh", "functional": "PBE", "state": "relaxed", "lattice": [[4.675, 0.000, 0.000], [0.000, 4.675, 0.000], [0.000, 0.000, 4.675]], "species": ["Zn", "Zn", "Zn", "Pd", "Rh"], "fractional_positions": [[0.000, 0.000, 0.500], [0.000, 0.500, 0.000], [0.500, 0.000, 0.000], [0.500, 0.500, 0.500], [0.000, 0.000, 0.000]], "spacegroup": "Pm-3m", "ef_ev_per_fu": 1.67, "dft_energy_ev_per_atom": -2.940, "crystal_system": "cubic", "total_magnetization_mub_per_cell": 0.00, "relative_energy_ev_per_atom": 0.000}



[6]
{"formula": "Zn4PdRh", "functional": "PBE", "state": "relaxed", "lattice": [[8.489, 0.000, 0.000], [0.000, 3.700, 0.000], [-1.750, 0.000, 5.464]], "species": ["Zn", "Zn", "Zn", "Zn", "Zn", "Zn", "Zn", "Zn", "Pd", "Pd", "Rh", "Rh"], "fractional_positions": [[0.163, 0.000, 0.323], [0.164, 0.000, 0.834], [0.336, 0.500, 0.166], [0.337, 0.500, 0.677], [0.663, 0.500, 0.323], [0.664, 0.500, 0.834], [0.836, 0.000, 0.166], [0.837, 0.000, 0.677], [0.000, 0.500, 0.500], [0.500, 0.000, 0.500], [0.000, 0.500, 0.000], [0.500, 0.000, 0.000]], "spacegroup": "C2/m", "ef_ev_per_fu": -2.15, "dft_energy_ev_per_atom": -3.299, "crystal_system": "monoclinic", "total_magnetization_mub_per_cell": 0.00, "relative_energy_ev_per_atom": 0.000}



[7]
{"formula": "Zn4PdRh3", "functional": "PBE", "state": "relaxed", "lattice": [[3.036, 0.000, 0.000], [0.000, 3.036, 0.000], [0.000, 0.000, 12.103]], "species": ["Zn", "Zn", "Zn", "Zn", "Pd", "Rh", "Rh", "Rh"], "fractional_positions": [[0.000, 0.000, 0.124], [0.000, 0.000, 0.370], [0.000, 0.000, 0.630], [0.000, 0.000, 0.876], [0.500, 0.500, 0.500], [0.500, 0.500, 0.000], [0.500, 0.500, 0.248], [0.500, 0.500, 0.752]], "spacegroup": "P4/mmm", "ef_ev_per_fu": -3.53, "dft_energy_ev_per_atom": -4.485, "crystal_system": "tetragonal", "total_magnetization_mub_per_cell": 0.00}



[8]
{"formula": "Zn2PdRh", "functional": "PBE", "state": "relaxed", "lattice": [[4.282, 0.000, 0.000], [0.000, 4.282, 0.000], [0.000, 0.000, 3.066]], "species": ["Zn", "Zn", "Pd", "Rh"], "fractional_positions": [[0.000, 0.500, 0.000], [0.500, 0.000, 0.000], [0.000, 0.000, 0.500], [0.500, 0.500, 0.500]], "spacegroup": "P4/mmm", "ef_ev_per_fu": -2.06, "dft_energy_ev_per_atom": -4.289, "crystal_system": "tetragonal", "total_magnetization_mub_per_cell": 0.00}



[9]
{"formula": "ZnPd3Rh", "functional": "PBE", "state": "relaxed", "lattice": [[4.815, 0.000, 0.000], [0.000, 4.815, 0.000], [0.000, 0.000, 4.815]], "species": ["Zn", "Pd", "Pd", "Pd", "Rh"], "fractional_positions": [[0.000, 0.000, 0.000], [0.000, 0.500, 0.500], [0.500, 0.000, 0.500], [0.500, 0.500, 0.000], [0.500, 0.500, 0.500]], "spacegroup": "Pm-3m", "ef_ev_per_fu": 5.25, "dft_energy_ev_per_atom": -3.790, "crystal_system": "cubic", "total_magnetization_mub_per_cell": 1.76, "relative_energy_ev_per_atom": 0.241}



[10]
{"formula": "ZnPd2Rh2", "functional": "PBE", "state": "relaxed", "lattice": [[6.461, 0.000, 0.000], [0.000, 6.461, 0.000], [0.000, 0.000, 3.806]], "species": ["Zn", "Zn", "Pd", "Pd", "Pd", "Pd", "Rh", "Rh", "Rh", "Rh"], "fractional_positions": [[0.000, 0.000, 0.000], [0.500, 0.500, 0.000], [0.161, 0.339, 0.500], [0.339, 0.839, 0.500], [0.661, 0.161, 0.500], [0.839, 0.661, 0.500], [0.138, 0.638, 0.000], [0.362, 0.138, 0.000], [0.638, 0.862, 0.000], [0.862, 0.362, 0.000]], "spacegroup": "P4/mbm", "ef_ev_per_fu": 0.76, "dft_energy_ev_per_atom": -5.121, "crystal_system": "tetragonal", "total_magnetization_mub_per_cell": 1.78, "relative_energy_ev_per_atom": 0.000}



[11]
{"formula": "ZnPd2Rh2", "functional": "PBE", "state": "relaxed", "lattice": [[6.566, 0.000, 0.000], [0.000, 6.566, 0.000], [0.000, 0.000, 3.695]], "species": ["Zn", "Zn", "Pd", "Pd", "Pd", "Pd", "Rh", "Rh", "Rh", "Rh"], "fractional_positions": [[0.000, 0.000, 0.000], [0.500, 0.500, 0.000], [0.150, 0.350, 0.000], [0.350, 0.850, 0.000], [0.650, 0.150, 0.000], [0.850, 0.650, 0.000], [0.145, 0.645, 0.500], [0.355, 0.145, 0.500], [0.645, 0.855, 0.500], [0.855, 0.355, 0.500]], "spacegroup": "P4/mbm", "ef_ev_per_fu": 1.05, "dft_energy_ev_per_atom": -5.062, "crystal_system": "tetragonal", "total_magnetization_mub_per_cell": 0.00, "relative_energy_ev_per_atom": 0.060}



[12]
{"formula": "ZnPdRh3", "functional": "PBE", "state": "relaxed", "lattice": [[4.747, 0.000, 0.000], [0.000, 4.747, 0.000], [0.000, 0.000, 4.747]], "species": ["Zn", "Pd", "Rh", "Rh", "Rh"], "fractional_positions": [[0.000, 0.000, 0.000], [0.500, 0.500, 0.500], [0.000, 0.500, 0.500], [0.500, 0.000, 0.500], [0.500, 0.500, 0.000]], "spacegroup": "Pm-3m", "ef_ev_per_fu": 7.38, "dft_energy_ev_per_atom": -4.228, "crystal_system": "cubic", "total_magnetization_mub_per_cell": 3.26, "relative_energy_ev_per_atom": 0.353}